LiNpBO5, relaxed, DFT PBE; formation energy (no corrections) = -2485 meV per atom
1.0
5.367 0.584 -0.178
-1.009 5.304 -0.178
-2.045 -2.763 6.984
Li Np B O
2 2 2 10
Cartesian
0.680 2.984 1.568
1.633 0.140 5.061
-1.023 -1.381 3.492
0.000 0.000 0.000
2.669 1.512 1.568
-0.356 1.613 5.061
-0.858 4.123 1.568
3.172 -0.999 5.061
3.812 1.620 0.617
-1.499 1.505 6.012
2.899 0.387 2.520
-0.586 2.738 4.109
2.492 2.793 2.292
-0.179 0.331 4.337
1.392 1.307 0.845
0.921 1.818 5.784

***

SbWAu2, relaxed, DFT PBE; formation energy (no corrections) = 372 meV per atom
1.0
2.943 0.010 0.000
-0.008 2.943 0.000
0.000 0.000 9.042
Au Sb W
2 1 1
Cartesian
0.000 0.000 8.738
0.000 0.000 4.825
1.468 1.477 2.260
1.468 1.477 6.781

***

Pm2ZnOs, relaxed, DFT PBE; E_form = -0.142 eV per atom
1.0
5.042 0.000 0.000
2.521 4.367 0.000
2.521 1.456 4.117
Zn Os Pm
1 1 2
Cartesian
0.000 0.000 0.000
5.042 2.911 2.059
2.521 1.456 1.029
7.564 4.367 3.088

***

Be2Rh, relaxed, DFT PBE; E_form = -0.361 eV per atom
1.0
4.749 -1.993 0.796
1.263 -1.039 4.948
-3.138 -0.970 -4.046
Be Rh
4 2
Cartesian
3.768 -1.900 3.600
0.384 -0.706 -0.775
1.227 -2.256 -2.475
2.244 -1.132 2.144
2.775 -2.475 0.257
0.099 -1.527 1.441

***

Sm8Tm6Mg, relaxed, DFT PBE; E_form = 0.148 eV per atom
1.0
-3.007 1.029 5.522
6.000 -5.699 4.329
1.883 9.122 -0.674
Sm Tm Mg
8 6 1
Cartesian
-1.716 3.127 4.518
3.322 3.686 7.158
0.753 8.267 4.905
6.592 1.325 4.659
1.553 0.767 2.019
4.122 -3.815 4.272
0.729 5.046 5.633
4.147 -0.594 3.544
2.047 -2.121 6.442
4.443 0.567 7.246
1.340 1.349 5.410
2.828 6.573 2.735
0.433 3.886 1.932
3.535 3.103 3.767
-1.504 0.514 2.761